Material: Ca2CI
Method: DFT, PBE
State: optimized geometry

## Properties
Energy in eV/atom: -3.980
Space group: No. 160
Total moment in Bohr magnetons per cell: 1.0

```
data_Ca2CI
_chemical_formula_sum 'Ca2 C1 I1'
_cell_length_a 7.976
_cell_length_b 7.976
_cell_length_c 7.976
_cell_angle_alpha 28.32
_cell_angle_beta 28.32
_cell_angle_gamma 28.32
_space_group_name_H-M_alt 'P 1'
_space_group_IT_number 1
loop_
_space_group_symop_operation_xyz
'x,y,z'
loop_
_atom_site_label
_atom_site_type_symbol
_atom_site_fract_x
_atom_site_fract_y
_atom_site_fract_z
Ca1 Ca 0.000 0.000 0.000
Ca2 Ca 0.216 0.216 0.216
C1 C 0.608 0.608 0.608
I1 I 0.777 0.777 0.777
```